Entry 1:
DFT (SCAN) results for a crystal of Ba3Mn2RuO9 relaxed with PBEsol.

Summary:
* spin magnetization: 4.00 μB per formula unit
* E_form (uncorrected): -2.45 eV/atom

The structure in CIF format:
```
data_Ba3Mn2RuO9
_cell_length_a 5.6728
_cell_length_b 5.6728
_cell_length_c 20.9345
_cell_angle_alpha 90.00
_cell_angle_beta 90.00
_cell_angle_gamma 120.00
_symmetry_space_group_name_H-M 'R 3 m'
_symmetry_Int_Tables_number 160
_symmetry_space_group_name_Hall 'R 3 -2"'
loop_
_atom_site_label
_atom_site_fract_x
_atom_site_fract_y
_atom_site_fract_z
Ba1 0.0000 0.0000 0.0000
Ba2 0.0000 0.0000 0.2133
Ba3 0.0000 0.0000 0.7794
Mn1 0.0000 0.0000 0.3778
Mn2 0.0000 0.0000 0.4974
Ru1 0.0000 0.0000 0.6133
O1 0.0060 0.5030 0.9986
O2 0.0255 0.5128 0.2193
O3 0.1864 0.3728 0.1057
```

Entry 2:
DFT (SCAN) results for a crystal of MgAsS2 relaxed with PBEsol.

Summary:
* spin magnetization: 0.00 μB per formula unit
* E_form (uncorrected): -0.18 eV/atom
* energy above the most stable polymorph in this dataset: 1.12 eV per formula unit

The structure in CIF format:
```
data_MgAsS2
_cell_length_a 3.6761
_cell_length_b 3.6761
_cell_length_c 23.1841
_cell_angle_alpha 90.00
_cell_angle_beta 90.00
_cell_angle_gamma 120.00
_symmetry_space_group_name_H-M 'R -3 m'
_symmetry_Int_Tables_number 166
_symmetry_space_group_name_Hall '-R 3 2"'
loop_
_atom_site_label
_atom_site_fract_x
_atom_site_fract_y
_atom_site_fract_z
Mg1 0.0000 0.0000 0.0000
As1 0.0000 0.0000 0.5000
S1 0.0000 0.0000 0.1060
```

Entry 3:
DFT (SCAN) results for a crystal of AsOsC3 relaxed with PBEsol.

Summary:
* spin magnetization: 1.23 μB per formula unit
* energy of formation from the pure elements: 15.84 eV/f.u.

The structure in CIF format:
```
data_AsOsC3
_cell_length_a 3.799
_cell_length_b 3.799
_cell_length_c 3.799
_cell_angle_alpha 90.00
_cell_angle_beta 90.00
_cell_angle_gamma 90.00
_symmetry_space_group_name_H-M 'P m -3 m'
_symmetry_Int_Tables_number 221
_symmetry_space_group_name_Hall '-P 4 2 3'
loop_
_atom_site_label
_atom_site_fract_x
_atom_site_fract_y
_atom_site_fract_z
As1 0.000 0.000 0.000
Os1 0.500 0.500 0.500
C1 0.000 0.000 0.500
```

Entry 4:
DFT (SCAN) results for a crystal of Ba3SmIrRuO9 relaxed with PBEsol.

Summary:
* spin magnetization: 2.02 μB per formula unit
* E_form (uncorrected): -2.41 eV/atom

The structure in CIF format:
```
data_Ba3SmIrRuO9
_cell_length_a 5.8951
_cell_length_b 5.8951
_cell_length_c 14.6560
_cell_angle_alpha 90.00
_cell_angle_beta 90.00
_cell_angle_gamma 120.00
_symmetry_space_group_name_H-M 'P 63 m c'
_symmetry_Int_Tables_number 186
_symmetry_space_group_name_Hall 'P 6c -2c'
loop_
_atom_site_label
_atom_site_fract_x
_atom_site_fract_y
_atom_site_fract_z
Ba1 0.0000 0.0000 0.0000
Ba2 0.3333 0.6667 0.1550
Ba3 0.3333 0.6667 0.8490
Sm1 0.0000 0.0000 0.2504
Ir1 0.3333 0.6667 0.4160
Ru1 0.3333 0.6667 0.5852
O1 0.0182 0.5091 0.5012
O2 0.1778 0.3555 0.3384
O3 0.1784 0.3568 0.6589
```

Entry 5:
DFT (SCAN) results for a crystal of BaEuO3 relaxed with PBEsol.

Summary:
* spin magnetization: 5.00 μB per formula unit
* E_form (uncorrected): -2.59 eV/atom

The structure in CIF format:
```
data_BaEuO3
_cell_length_a 4.364
_cell_length_b 4.364
_cell_length_c 4.364
_cell_angle_alpha 90.00
_cell_angle_beta 90.00
_cell_angle_gamma 90.00
_symmetry_space_group_name_H-M 'P m -3 m'
_symmetry_Int_Tables_number 221
_symmetry_space_group_name_Hall '-P 4 2 3'
loop_
_atom_site_label
_atom_site_fract_x
_atom_site_fract_y
_atom_site_fract_z
Ba1 0.000 0.000 0.000
Eu1 0.500 0.500 0.500
O1 0.000 0.500 0.500
```

Entry 6:
DFT (SCAN) results for a crystal of Na4WO4 relaxed with PBEsol.

Summary:
* spin magnetization: 0.00 μB per formula unit
* E_form (uncorrected): -1.86 eV/atom

The structure in CIF format:
```
data_Na4WO4
_cell_length_a 7.104
_cell_length_b 7.104
_cell_length_c 4.875
_cell_angle_alpha 90.00
_cell_angle_beta 90.00
_cell_angle_gamma 90.00
_symmetry_space_group_name_H-M 'I 4/m'
_symmetry_Int_Tables_number 87
_symmetry_space_group_name_Hall '-I 4'
loop_
_atom_site_label
_atom_site_fract_x
_atom_site_fract_y
_atom_site_fract_z
Na1 0.089 0.700 0.000
W1 0.000 0.000 0.500
O1 0.082 0.747 0.500
```

Entry 7:
DFT (SCAN) results for a crystal of CaZrFe3 relaxed with PBEsol.

Summary:
* spin magnetization: 7.18 μB per formula unit
* energy of formation from the pure elements: 5.36 eV/f.u.

The structure in CIF format:
```
data_CaZrFe3
_cell_length_a 4.634
_cell_length_b 4.634
_cell_length_c 4.634
_cell_angle_alpha 90.00
_cell_angle_beta 90.00
_cell_angle_gamma 90.00
_symmetry_space_group_name_H-M 'P m -3 m'
_symmetry_Int_Tables_number 221
_symmetry_space_group_name_Hall '-P 4 2 3'
loop_
_atom_site_label
_atom_site_fract_x
_atom_site_fract_y
_atom_site_fract_z
Ca1 0.000 0.000 0.000
Zr1 0.500 0.500 0.500
Fe1 0.000 0.500 0.500
```

Entry 8:
DFT (SCAN) results for a crystal of GaPNO2 relaxed with PBEsol.

Summary:
* spin magnetization: 0.00 μB per formula unit
* E_form (uncorrected): 0.44 eV/atom

The structure in CIF format:
```
data_GaPNO2
_cell_length_a 3.726
_cell_length_b 3.726
_cell_length_c 3.859
_cell_angle_alpha 90.00
_cell_angle_beta 90.00
_cell_angle_gamma 90.00
_symmetry_space_group_name_H-M 'P 4/m m m'
_symmetry_Int_Tables_number 123
_symmetry_space_group_name_Hall '-P 4 2'
loop_
_atom_site_label
_atom_site_fract_x
_atom_site_fract_y
_atom_site_fract_z
Ga1 0.000 0.000 0.000
P1 0.500 0.500 0.500
N1 0.000 0.000 0.500
O1 0.000 0.500 0.000
```